No. 1
A geometry-optimized Tb2SmYEr6 structure. Source: Alexandria, functional GGA-PBE.

Its formation energy is 1.2 eV per formula unit.

The space group is C2/c (No. 15) and the conventional cell measures 8.981, 14.987 and 9.537 Å, with angles of 90.00, 97.87 and 90.00 degrees. The asymmetric unit holds Tb at (0.249, 0.053, 0.044), Sm at (0.000, 0.023, 0.750), Y at (0.000, 0.408, 0.250), Er at (0.064, 0.188, 0.443), Er at (0.101, 0.392, 0.620) and Er at (0.204, 0.226, 0.817).

No. 2
A geometry-optimized AlRe2Hg structure. Source: Alexandria, functional GGA-PBE.

For the energy above the most stable polymorph in this dataset, the calculation gives 84.6 kJ/mol of atoms. Its formation energy is 4.1 eV per formula unit.

The space group is I-42d (No. 122) and the conventional cell measures 7.337, 7.337 and 5.203 Å, with angles of 90.00, 90.00 and 90.00 degrees. The asymmetric unit holds Al at (0.000, 0.000, 0.000), Re at (0.217, 0.750, 0.125) and Hg at (0.000, 0.000, 0.500).

No. 3
A geometry-optimized NdCoSi2Ir structure. Source: Alexandria, functional GGA-PBE.

The value obtained for the formation energy from raw total energies is -906 meV per atom.

The space group is I-4m2 (No. 119) and the conventional cell measures 4.026, 4.026 and 10.168 Å, with angles of 90.00, 90.00 and 90.00 degrees. The asymmetric unit holds Nd at (0.000, 0.000, 0.000), Co at (0.000, 0.500, 0.750), Si at (0.000, 0.000, 0.373) and Ir at (0.000, 0.500, 0.250).

No. 4
A geometry-optimized ZrPdBr2 structure. Source: Alexandria, functional GGA-PBE.

The value obtained for the formation energy from raw total energies is -496 meV per atom. For the energy above the most stable polymorph in this dataset, the calculation gives 0.0 kJ/mol of atoms.

The space group is R-3m (No. 166, hexagonal axes) and the conventional cell measures 3.4238, 3.4238 and 26.7836 Å, with angles of 90.00, 90.00 and 120.00 degrees. The asymmetric unit holds Zr at (0.0000, 0.0000, 0.0000), Pd at (0.0000, 0.0000, 0.5000) and Br at (0.0000, 0.0000, 0.4061).

No. 5
A geometry-optimized Hg2SbS6 structure. Source: Alexandria, functional GGA-PBE.

The value obtained for the formation energy from raw total energies is 344 meV per atom.

The space group is P4_2/mnm (No. 136) and the conventional cell measures 6.471, 6.471 and 11.114 Å, with angles of 90.00, 90.00 and 90.00 degrees. The asymmetric unit holds Hg at (0.000, 0.000, 0.170), Sb at (0.000, 0.000, 0.500), S at (0.183, 0.183, 0.338) and S at (0.188, 0.188, 0.000).

No. 6
A geometry-optimized DyMn2Tl3Se6 structure. Source: Alexandria, functional GGA-PBE.

The value obtained for the formation energy from raw total energies is -713 meV per atom.

The space group is C2/m (No. 12) and the conventional cell measures 6.846, 11.769 and 8.003 Å, with angles of 90.00, 106.33 and 90.00 degrees. The asymmetric unit holds Dy at (0.000, 0.000, 0.000), Mn at (0.000, 0.333, 0.000), Tl at (0.000, 0.157, 0.500), Tl at (0.000, 0.500, 0.500), Se at (0.199, 0.500, 0.186) and Se at (0.244, 0.181, 0.194).

No. 7
A geometry-optimized LiGd2Be structure. Source: Alexandria, functional GGA-PBE.

For the energy above the most stable polymorph in this dataset, the calculation gives 3.8 kJ/mol of atoms. Its formation energy is 0.5 eV per formula unit.

The space group is Fm-3m (No. 225) and the conventional cell measures 7.104, 7.104 and 7.104 Å, with angles of 90.00, 90.00 and 90.00 degrees. The asymmetric unit holds Li at (0.000, 0.000, 0.000), Gd at (0.250, 0.250, 0.250) and Be at (0.000, 0.000, 0.500).

No. 8
A geometry-optimized HfS2I structure. Source: Alexandria, functional GGA-PBE.

The value obtained for the formation energy from raw total energies is -1087 meV per atom. For the energy above the most stable polymorph in this dataset, the calculation gives 0.2 kJ/mol of atoms.

The space group is R-3m (No. 166, hexagonal axes) and the conventional cell measures 3.5873, 3.5873 and 36.0360 Å, with angles of 90.00, 90.00 and 120.00 degrees. The asymmetric unit holds Hf at (0.0000, 0.0000, 0.0000), S at (0.0000, 0.0000, 0.3742) and I at (0.0000, 0.0000, 0.5000).